1.
Here is an optimized crystal structure of LaPr5Mg6 from Alexandria via LeMat-Bulk. Energies are from PBE.

Computed properties:
The value obtained for the formation energy is -117 meV/atom. As for the density of states at the Fermi level: 1.083 states/eV/atom. The crystal system is orthorhombic.

Cell and atoms, written as POSCAR:
```
LaPr5Mg6
1.0
-5.161 -1.985 0.392
1.121 -1.399 7.646
-5.374 6.630 2.000
La Pr Mg
1 5 6
direct
0.000 0.000 0.000
0.000 0.500 0.000
0.667 0.000 0.667
0.335 0.500 0.331
0.665 0.500 0.669
0.333 0.000 0.333
0.500 0.252 0.000
0.832 0.252 0.335
0.168 0.748 0.665
0.832 0.748 0.335
0.500 0.748 0.000
0.168 0.252 0.665
```


2.
Here is an optimized crystal structure of AlGaNi from Alexandria via LeMat-Bulk. Energies are from PBE.

Computed properties:
The value obtained for the formation energy is -312 meV/atom. As for the density of states at the Fermi level: 0.319 states/eV/atom. The crystal system is tetragonal.

Cell and atoms, written as POSCAR:
```
AlGaNi
1.0
-1.858 -0.381 2.609
-2.530 -0.644 -1.895
3.102 -3.312 -0.269
Al Ni Ga
1 1 1
direct
0.957 0.957 0.915
0.615 0.615 0.230
0.278 0.278 0.556
```


3.
Here is an optimized crystal structure of Li6Ac2Tl3 from Alexandria via LeMat-Bulk. Energies are from PBE.

Computed properties:
The value obtained for the formation energy is -182 meV/atom. As for the density of states at the Fermi level: 0.764 states/eV/atom. The crystal system is hexagonal.

Cell and atoms, written as POSCAR:
```
Li6Ac2Tl3
1.0
-3.698 -3.021 1.352
2.910 -5.783 -4.963
2.526 0.376 7.747
Li Ac Tl
6 2 3
direct
0.000 0.203 0.203
0.500 0.236 0.000
0.000 0.797 0.000
0.500 0.764 0.764
0.000 0.000 0.797
0.500 0.000 0.236
0.000 0.667 0.333
0.000 0.333 0.667
0.500 0.410 0.410
0.500 0.590 0.000
0.500 0.000 0.590
```


4.
Here is an optimized crystal structure of Ho8Co2Sb from Alexandria via LeMat-Bulk. Energies are from PBE.

Computed properties:
As for the density of states at the Fermi level: 1.177 states/eV/atom. The calculation puts the uncorrected formation energy at -2.436 eV/f.u. The crystal system is monoclinic.

Cell and atoms, written as POSCAR:
```
Ho8Co2Sb
1.0
-4.373 2.897 1.354
0.214 -4.451 6.313
5.099 5.805 0.145
Ho Co Sb
8 2 1
direct
0.918 0.928 0.666
0.918 0.666 0.928
0.082 0.072 0.334
0.082 0.334 0.072
0.704 0.392 0.392
0.500 0.248 0.752
0.500 0.752 0.248
0.296 0.608 0.608
0.000 0.694 0.306
0.000 0.306 0.694
0.500 0.000 0.000
```


5.
Here is an optimized crystal structure of Ac2TmGe2 from Alexandria via LeMat-Bulk. Energies are from PBE.

Computed properties:
The calculation puts the excess energy over the best structure of this formula in the dataset at 0.0 meV per atom. The value obtained for the formation energy is -686 meV/atom. As for the density of states at the Fermi level: 0.809 states/eV/atom. The crystal system is tetragonal.

Cell and atoms, written as POSCAR:
```
Ac2TmGe2
1.0
-1.930 -0.614 -4.304
7.169 -1.372 -3.018
-0.853 -7.712 1.482
Ge Tm Ac
4 2 4
direct
0.000 0.122 0.378
0.000 0.878 0.622
0.000 0.378 0.878
0.000 0.622 0.122
0.000 0.500 0.500
0.000 0.000 0.000
0.500 0.676 0.824
0.500 0.324 0.176
0.500 0.824 0.324
0.500 0.176 0.676
```


6.
Here is an optimized crystal structure of Ir2AuSe from Alexandria via LeMat-Bulk. Energies are from PBE.

Computed properties:
As for the density of states at the Fermi level: 0.768 states/eV/atom. The calculation puts the uncorrected formation energy at 2.058 eV/f.u. The crystal system is monoclinic.

Cell and atoms, written as POSCAR:
```
Ir2AuSe
1.0
-2.561 -1.105 3.326
-0.755 -2.447 -1.395
3.611 -3.569 1.594
Au Se Ir
1 1 2
direct
0.500 0.750 0.750
0.500 0.250 0.250
0.000 0.378 0.482
0.000 0.122 0.018
```